Material: ErCoAsO
Method: DFT, PBE+U
State: relaxed

The structure in CIF format:
```
data_ErCoAsO
_cell_length_a 3.787
_cell_length_b 5.885
_cell_length_c 6.585
_cell_angle_alpha 90.00
_cell_angle_beta 90.00
_cell_angle_gamma 90.00
_symmetry_space_group_name_H-M 'P m c 21'
_symmetry_Int_Tables_number 26
loop_
_symmetry_equiv_pos_as_xyz
'x,y,z'
'-x,-y,z+1/2'
'-x,y,z'
'x,-y,z+1/2'
loop_
_atom_site_label
_atom_site_type_symbol
_atom_site_fract_x
_atom_site_fract_y
_atom_site_fract_z
Er1 Er 0.000 0.043 0.000
Co1 Co 0.500 0.364 0.344
As1 As 0.500 0.241 0.723
O1 O 0.000 0.249 0.276
```

Summary:
* energy above the lowest structure with this stoichiometry: 1.60 eV/f.u.
* M_tot: 0.7353 μB/atom